1.
Compound: ZrBePb2Br
Source: Alexandria via LeMat-Bulk
Functional: PBE
Structure: relaxed Values from VASP.

```
&SYSTEM
  ibrav = 0, nat = 5, ntyp = 4
/
ATOMIC_SPECIES
Zr 91.22 Zr.upf
Be 9.01 Be.upf
Pb 207.20 Pb.upf
Br 79.90 Br.upf
CELL_PARAMETERS angstrom
5.7431 0.0000 0.0000
0.0000 5.7431 0.0000
0.0000 0.0000 4.9621
ATOMIC_POSITIONS angstrom
Zr 0.0000 0.0000 0.0000
Be 2.8716 2.8716 0.0000
Pb 0.0000 2.8716 2.4810
Pb 2.8716 0.0000 2.4810
Br 0.0000 0.0000 2.4810
```

Values from the calculation:
The formation energy without anion corrections comes out at 1.096 eV/atom. The calculation puts the density of states at the Fermi level at 0.802 states/eV/atom. As for the total energy: -15.89 eV per formula unit. The space-group type is P4/mmm. The spin magnetization is 0.000 μB per atom.

***

2.
Compound: AgPd2F6
Source: Alexandria via LeMat-Bulk
Functional: PBE
Structure: relaxed Values from VASP.

```
&SYSTEM
  ibrav = 0, nat = 9, ntyp = 3
/
ATOMIC_SPECIES
Ag 107.87 Ag.upf
Pd 106.42 Pd.upf
F 19.00 F.upf
CELL_PARAMETERS angstrom
3.3443 -5.1903 0.0000
3.3443 5.1903 0.0000
-2.5833 0.0000 4.9688
ATOMIC_POSITIONS angstrom
Ag 0.0000 0.0000 0.0000
Pd 0.3805 2.5951 2.4844
Pd 0.3805 -2.5951 2.4844
F 1.1869 1.4834 1.0596
F 2.0526 3.7197 2.4844
F 1.1869 -1.4834 1.0596
F 2.9183 1.4834 3.9092
F 2.0526 -3.7197 2.4844
F 2.9183 -1.4834 3.9092
```

Values from the calculation:
The formation energy without anion corrections comes out at -1.146 eV/atom. The calculation puts the density of states at the Fermi level at 1.148 states/eV/atom. As for the total energy: -34.78 eV per formula unit. The space-group type is C2/m. The spin magnetization is 0.101 μB per atom.

***

3.
Compound: BaCdSe2Br
Source: Alexandria via LeMat-Bulk
Functional: PBE
Structure: relaxed Values from VASP.

```
&SYSTEM
  ibrav = 0, nat = 5, ntyp = 4
/
ATOMIC_SPECIES
Ba 137.33 Ba.upf
Cd 112.41 Cd.upf
Se 78.96 Se.upf
Br 79.90 Br.upf
CELL_PARAMETERS angstrom
5.2643 0.0000 0.0000
0.0000 5.2643 0.0000
0.0000 0.0000 5.6850
ATOMIC_POSITIONS angstrom
Ba 0.0000 0.0000 0.0000
Cd 2.6322 2.6322 2.8425
Se 0.0000 2.6322 2.8425
Se 2.6322 0.0000 2.8425
Br 2.6322 2.6322 0.0000
```

Values from the calculation:
The formation energy without anion corrections comes out at -0.980 eV/atom. The calculation puts the density of states at the Fermi level at 0.487 states/eV/atom. As for the total energy: -16.38 eV per formula unit. The space-group type is P4/mmm. The relative energy among the computed polymorphs is 0.000 eV/f.u. The spin magnetization is 0.000 μB per atom.